Entry 1:
# GGA-PBE VHg2PdRu, optimized geometry
data_VHg2PdRu
_cell_length_a 5.068
_cell_length_b 5.068
_cell_length_c 4.804
_cell_angle_alpha 90.00
_cell_angle_beta 90.00
_cell_angle_gamma 90.00
_symmetry_space_group_name_H-M 'P 1'
_symmetry_Int_Tables_number 1
loop_
_symmetry_equiv_pos_as_xyz
'x,y,z'
loop_
_atom_site_label
_atom_site_type_symbol
_atom_site_fract_x
_atom_site_fract_y
_atom_site_fract_z
V1 V 0.000 0.000 0.000
Hg1 Hg 0.000 0.500 0.500
Hg2 Hg 0.500 0.000 0.500
Pd1 Pd 0.500 0.500 0.500
Ru1 Ru 0.500 0.500 0.000
# crystal system = tetragonal
# spin magnetization = 4.342 μB/f.u.
# DFT formation energy = 129.3 kJ per mole of atoms
# N(E_F) = 2.064 states/eV/atom
# space group = P4/mmm

Entry 2:
# GGA-PBE ZrHgPdRu, optimized geometry
data_ZrHgPdRu
_cell_length_a 4.637
_cell_length_b 4.637
_cell_length_c 4.637
_cell_angle_alpha 60.00
_cell_angle_beta 60.00
_cell_angle_gamma 60.00
_symmetry_space_group_name_H-M 'P 1'
_symmetry_Int_Tables_number 1
loop_
_symmetry_equiv_pos_as_xyz
'x,y,z'
loop_
_atom_site_label
_atom_site_type_symbol
_atom_site_fract_x
_atom_site_fract_y
_atom_site_fract_z
Zr1 Zr 0.000 0.000 0.000
Hg1 Hg 0.500 0.500 0.500
Pd1 Pd 0.250 0.250 0.250
Ru1 Ru 0.750 0.750 0.750
# crystal system = cubic
# spin magnetization = 0.000 μB/f.u.
# DFT formation energy = -27.3 kJ per mole of atoms
# N(E_F) = 0.220 states/eV/atom
# space group = F-43m

Entry 3:
# GGA-PBE ZrHg2PdRu, optimized geometry
data_ZrHg2PdRu
_cell_length_a 5.024
_cell_length_b 5.024
_cell_length_c 4.953
_cell_angle_alpha 90.00
_cell_angle_beta 90.00
_cell_angle_gamma 90.00
_symmetry_space_group_name_H-M 'P 1'
_symmetry_Int_Tables_number 1
loop_
_symmetry_equiv_pos_as_xyz
'x,y,z'
loop_
_atom_site_label
_atom_site_type_symbol
_atom_site_fract_x
_atom_site_fract_y
_atom_site_fract_z
Zr1 Zr 0.000 0.000 0.000
Hg1 Hg 0.000 0.500 0.500
Hg2 Hg 0.500 0.000 0.500
Pd1 Pd 0.000 0.000 0.500
Ru1 Ru 0.500 0.500 0.000
# crystal system = tetragonal
# E above lowest polymorph = 0.0 meV/atom
# spin magnetization = 1.662 μB/f.u.
# DFT formation energy = 91.3 kJ per mole of atoms
# N(E_F) = 1.004 states/eV/atom
# space group = P4/mmm

Entry 4:
# GGA-PBE ZrHg2PdRu, optimized geometry
data_ZrHg2PdRu
_cell_length_a 5.479
_cell_length_b 5.479
_cell_length_c 4.650
_cell_angle_alpha 90.00
_cell_angle_beta 90.00
_cell_angle_gamma 90.00
_symmetry_space_group_name_H-M 'P 1'
_symmetry_Int_Tables_number 1
loop_
_symmetry_equiv_pos_as_xyz
'x,y,z'
loop_
_atom_site_label
_atom_site_type_symbol
_atom_site_fract_x
_atom_site_fract_y
_atom_site_fract_z
Zr1 Zr 0.000 0.000 0.000
Hg1 Hg 0.000 0.500 0.000
Hg2 Hg 0.500 0.000 0.000
Pd1 Pd 0.500 0.500 0.500
Ru1 Ru 0.000 0.000 0.500
# crystal system = tetragonal
# E above lowest polymorph = 193.9 meV/atom
# spin magnetization = 0.000 μB/f.u.
# DFT formation energy = 110.0 kJ per mole of atoms
# N(E_F) = 0.747 states/eV/atom
# space group = P4/mmm